Compound: BaNaSe2O6
Source: Alexandria
Functional: PBE
Structure: relaxed

Calculated values
The value obtained for the volume is 17.1 Å³/atom.

```
BaNaSe2O6
1.0
7.3343 0.0768 0.3262
-0.8217 7.2885 0.3262
-1.5285 -1.7287 6.2370
O Na Se Ba
12 2 4 2
Direct
0.9171 0.4387 0.1781 O
0.1615 0.1319 0.6159 O
0.5613 0.0829 0.3219 O
0.8681 0.8385 0.8841 O
0.5006 0.2830 0.8801 O
0.0829 0.5613 0.8219 O
0.8385 0.8681 0.3841 O
0.7170 0.4994 0.6199 O
0.2830 0.5006 0.3801 O
0.4387 0.9171 0.6781 O
0.1319 0.1615 0.1159 O
0.4994 0.7170 0.1199 O
0.5736 0.4264 0.2500 Na
0.4264 0.5736 0.7500 Na
0.3346 0.0889 0.8070 Se
0.9111 0.6654 0.6930 Se
0.6654 0.9111 0.1930 Se
0.0889 0.3346 0.3070 Se
0.8237 0.1763 0.7500 Ba
0.1763 0.8237 0.2500 Ba
```

---

Compound: SbAu4C2
Source: Alexandria
Functional: PBE
Structure: relaxed

Calculated values
The value obtained for the volume is 22.2 Å³/atom.

```
SbAu4C2
1.0
5.4422 0.0000 0.0000
0.0000 5.4422 0.0000
2.7211 2.7211 5.2570
Sb Au C
1 4 2
Direct
0.0000 0.0000 0.0000 Sb
0.2496 0.2496 0.5008 Au
0.5000 0.0000 0.0000 Au
0.0000 0.5000 0.0000 Au
0.7504 0.7504 0.4992 Au
0.5611 0.5611 0.8779 C
0.4389 0.4389 0.1221 C
```

---

Compound: LiH3Pd
Source: Alexandria
Functional: PBE
Structure: relaxed

Calculated values
The value obtained for the volume is 8.9 Å³/atom.

```
LiH3Pd
1.0
-1.2831 1.9685 2.5394
-3.2088 -0.6442 -1.1220
-2.6015 -5.2870 5.1408
H Li Pd
6 2 2
Direct
0.2633 0.2633 0.4735 H
0.2596 0.9145 0.1710 H
0.7367 0.7367 0.5265 H
0.0855 0.4306 0.8290 H
0.0855 0.7404 0.8290 H
0.5694 0.9145 0.1710 H
0.6530 0.1530 0.6940 Li
0.8470 0.3470 0.3060 Li
0.2500 0.7500 0.5000 Pd
0.0000 0.0000 0.0000 Pd
```

---

Number 1: M_tot 0.00 μB per atom, E -5.429 eV per atom. Number 2: M_tot 0.00 μB per atom, E -4.277 eV per atom. Number 3: M_tot 0.00 μB per atom, E -3.487 eV per atom.